Record 1
# Zn2AgAu

A relaxed Zn2AgAu crystal (PBE, Alexandria).

Computed properties:
Volume   16.1 Å³/atom
Electronic total energy   -2.313 eV per atom
Density   11.21 g/cm3
Formation energy from the elements   -56 kJ/mol of formula units
Energy relative to the lowest polymorph listed for this composition   0.000 eV/atom

Lattice parameters (Å, degrees): 6.3668 6.3668 6.3668 90.00 90.00 90.00
Fractional positions:
Zn (0.2500, 0.2500, 0.2500)
Zn (0.2500, 0.2500, 0.7500)
Zn (0.2500, 0.7500, 0.2500)
Zn (0.2500, 0.7500, 0.7500)
Zn (0.7500, 0.2500, 0.2500)
Zn (0.7500, 0.2500, 0.7500)
Zn (0.7500, 0.7500, 0.2500)
Zn (0.7500, 0.7500, 0.7500)
Ag (0.0000, 0.0000, 0.0000)
Ag (0.0000, 0.5000, 0.5000)
Ag (0.5000, 0.0000, 0.5000)
Ag (0.5000, 0.5000, 0.0000)
Au (0.0000, 0.0000, 0.5000)
Au (0.0000, 0.5000, 0.0000)
Au (0.5000, 0.0000, 0.0000)
Au (0.5000, 0.5000, 0.5000)

---

Record 2
# ZnMo4P

A relaxed ZnMo4P crystal (PBE, Alexandria).

Computed properties:
Volume   16.7 Å³/atom
Electronic total energy   -7.686 eV per atom
Density   7.97 g/cm3
Formation energy from the elements   376 kJ/mol of formula units

Lattice parameters (Å, degrees): 5.2111 5.2111 5.2111 60.00 60.00 60.00
Fractional positions:
Zn (0.0000, 0.0000, 0.0000)
Mo (0.1222, 0.6259, 0.6259)
Mo (0.6259, 0.1222, 0.6259)
Mo (0.6259, 0.6259, 0.1222)
Mo (0.6259, 0.6259, 0.6259)
P (0.2500, 0.2500, 0.2500)

---

Record 3
# CuBi5

A relaxed CuBi5 crystal (PBE, Alexandria).

Computed properties:
Volume   30.8 Å³/atom
Electronic total energy   -3.722 eV per atom
Density   9.97 g/cm3
Formation energy from the elements   113 kJ/mol of formula units

Lattice parameters (Å, degrees): 3.4467 19.8607 5.3928 90.00 90.00 90.00
Fractional positions:
Cu (0.0000, 0.0000, 0.0000)
Cu (0.5000, 0.5000, 0.0000)
Bi (0.0000, 0.1799, 0.5000)
Bi (0.0000, 0.3860, 0.0000)
Bi (0.0000, 0.5000, 0.5000)
Bi (0.0000, 0.6140, 0.0000)
Bi (0.0000, 0.8201, 0.5000)
Bi (0.5000, 0.0000, 0.5000)
Bi (0.5000, 0.1140, 0.0000)
Bi (0.5000, 0.3201, 0.5000)
Bi (0.5000, 0.6799, 0.5000)
Bi (0.5000, 0.8860, 0.0000)

---

Record 4
# Pu2TlAs

A relaxed Pu2TlAs crystal (PBE, Alexandria).

Computed properties:
Volume   28.4 Å³/atom
Electronic total energy   -9.283 eV per atom
Density   11.23 g/cm3
Formation energy from the elements   -140 kJ/mol of formula units
Energy relative to the lowest polymorph listed for this composition   0.098 eV/atom

Lattice parameters (Å, degrees): 3.8712 3.8712 26.2254 90.00 90.00 120.00
Fractional positions:
Pu (0.0000, 0.0000, 0.2358)
Pu (0.0000, 0.0000, 0.7642)
Pu (0.3333, 0.6667, 0.4309)
Pu (0.3333, 0.6667, 0.9024)
Pu (0.6667, 0.3333, 0.0976)
Pu (0.6667, 0.3333, 0.5691)
Tl (0.0000, 0.0000, 0.0000)
Tl (0.3333, 0.6667, 0.6667)
Tl (0.6667, 0.3333, 0.3333)
As (0.0000, 0.0000, 0.5000)
As (0.3333, 0.6667, 0.1667)
As (0.6667, 0.3333, 0.8333)

---

Record 5
# Y2ScRh

A relaxed Y2ScRh crystal (PBE, Alexandria).

Computed properties:
Volume   26.7 Å³/atom
Electronic total energy   -6.876 eV per atom
Density   5.06 g/cm3
Formation energy from the elements   -86 kJ/mol of formula units
Energy relative to the lowest polymorph listed for this composition   0.237 eV/atom

Lattice parameters (Å, degrees): 3.6463 3.6463 27.8333 90.00 90.00 120.00
Fractional positions:
Y (0.0000, 0.0000, 0.2315)
Y (0.0000, 0.0000, 0.7685)
Y (0.3333, 0.6667, 0.4352)
Y (0.3333, 0.6667, 0.8982)
Y (0.6667, 0.3333, 0.1018)
Y (0.6667, 0.3333, 0.5648)
Sc (0.0000, 0.0000, 0.0000)
Sc (0.3333, 0.6667, 0.6667)
Sc (0.6667, 0.3333, 0.3333)
Rh (0.0000, 0.0000, 0.5000)
Rh (0.3333, 0.6667, 0.1667)
Rh (0.6667, 0.3333, 0.8333)

---

Record 6
# MgCuH2

A relaxed MgCuH2 crystal (PBE, Alexandria).

Computed properties:
Volume   10.5 Å³/atom
Electronic total energy   -3.066 eV per atom
Density   3.56 g/cm3

Lattice parameters (Å, degrees): 3.3587 3.3587 12.8789 90.00 90.00 120.00
Fractional positions:
Mg (0.0000, 0.0000, 0.0000)
Mg (0.3333, 0.6667, 0.6667)
Mg (0.6667, 0.3333, 0.3333)
Cu (0.0000, 0.0000, 0.5000)
Cu (0.3333, 0.6667, 0.1667)
Cu (0.6667, 0.3333, 0.8333)
H (0.0000, 0.0000, 0.3812)
H (0.0000, 0.0000, 0.6188)
H (0.3333, 0.6667, 0.0478)
H (0.3333, 0.6667, 0.2855)
H (0.6667, 0.3333, 0.7145)
H (0.6667, 0.3333, 0.9522)

---

Record 7
# Be2SbRh

A relaxed Be2SbRh crystal (PBE, Alexandria).

Computed properties:
Volume   15.1 Å³/atom
Electronic total energy   -4.807 eV per atom
Density   6.69 g/cm3
Uncorrected formation energy   -0.076 eV per atom

Lattice parameters (Å, degrees): 2.8873 3.6510 5.8245 90.00 101.19 90.00
Fractional positions:
Be (0.0000, 0.0000, 0.0000)
Be (0.0872, 0.5000, 0.2303)
Sb (0.8192, 0.5000, 0.6754)
Rh (0.6230, 0.0000, 0.3045)

---

Record 8
# CaTiAu3

A relaxed CaTiAu3 crystal (PBE, Alexandria).

Computed properties:
Volume   25.4 Å³/atom
Electronic total energy   -4.039 eV per atom
Density   8.89 g/cm3
Formation energy from the elements   -45 kJ/mol of formula units
Energy relative to the lowest polymorph listed for this composition   0.000 eV/atom

Lattice parameters (Å, degrees): 5.0248 5.0248 5.0248 90.00 90.00 90.00
Fractional positions:
Ca (0.0000, 0.0000, 0.0000)
Ti (0.5000, 0.5000, 0.5000)
Au (0.0000, 0.5000, 0.5000)
Au (0.5000, 0.0000, 0.5000)
Au (0.5000, 0.5000, 0.0000)

---

What did the first record say?
# Zn2AgAu

A relaxed Zn2AgAu crystal (PBE, Alexandria).

Computed properties:
Volume   16.1 Å³/atom
Electronic total energy   -2.313 eV per atom
Density   11.21 g/cm3
Formation energy from the elements   -56 kJ/mol of formula units
Energy relative to the lowest polymorph listed for this composition   0.000 eV/atom

Lattice parameters (Å, degrees): 6.3668 6.3668 6.3668 90.00 90.00 90.00
Fractional positions:
Zn (0.2500, 0.2500, 0.2500)
Zn (0.2500, 0.2500, 0.7500)
Zn (0.2500, 0.7500, 0.2500)
Zn (0.2500, 0.7500, 0.7500)
Zn (0.7500, 0.2500, 0.2500)
Zn (0.7500, 0.2500, 0.7500)
Zn (0.7500, 0.7500, 0.2500)
Zn (0.7500, 0.7500, 0.7500)
Ag (0.0000, 0.0000, 0.0000)
Ag (0.0000, 0.5000, 0.5000)
Ag (0.5000, 0.0000, 0.5000)
Ag (0.5000, 0.5000, 0.0000)
Au (0.0000, 0.0000, 0.5000)
Au (0.0000, 0.5000, 0.0000)
Au (0.5000, 0.0000, 0.0000)
Au (0.5000, 0.5000, 0.5000)